Record 1
CdCoSb2: relaxed, PBE.

Results
- formation energy without anion corrections (eV/atom) = 0.140
- SG = No. 99

Geometry as POSCAR:
```
CdCoSb2
1.0
-1.887 2.500 -0.327
-1.763 -1.018 2.403
4.934 4.445 5.503
Cd Co Sb
1 1 2
direct
0.000 0.000 0.553 Cd
0.500 0.500 0.759 Co
0.000 0.000 0.921 Sb
0.500 0.500 0.267 Sb
```



Record 2
CdCo2Sb: relaxed, PBE.

Results
- energy above the lowest structure with this stoichiometry (meV/atom) = 90
- formation energy without anion corrections (eV/atom) = 0.301
- SG = No. 8

Geometry as POSCAR:
```
CdCo2Sb
1.0
-4.169 2.572 1.297
-4.225 -0.096 2.795
0.922 2.146 3.857
Cd Co Sb
1 2 1
direct
0.265 0.265 0.185 Cd
0.019 0.019 0.048 Co
0.733 0.733 0.704 Co
0.483 0.483 0.563 Sb
```



Record 3
CdCo2Sb2: relaxed, PBE.

Results
- energy above the lowest structure with this stoichiometry (meV/atom) = 0
- formation energy without anion corrections (eV/atom) = 0.177
- SG = No. 127

Geometry as POSCAR:
```
CdCo2Sb2
1.0
-6.241 3.516 0.908
-2.476 -2.801 -6.177
-1.248 -2.654 1.704
Sb Co Cd
4 4 2
direct
0.158 0.658 0.500 Sb
0.658 0.842 0.500 Sb
0.842 0.342 0.500 Sb
0.342 0.158 0.500 Sb
0.367 0.867 0.000 Co
0.867 0.633 0.000 Co
0.633 0.133 0.000 Co
0.133 0.367 0.000 Co
0.000 0.000 0.000 Cd
0.500 0.500 0.000 Cd
```



Record 4
Sc2CdCoSb: relaxed, PBE.

Results
- formation energy without anion corrections (eV/atom) = 0.348
- SG = No. 123

Geometry as POSCAR:
```
Sc2CdCoSb
1.0
5.350 0.000 0.000
0.000 4.593 0.000
0.000 0.000 5.350
Sc Sb Co Cd
2 1 1 1
direct
0.000 0.000 0.500 Sc
0.500 0.000 0.000 Sc
0.000 0.000 0.000 Sb
0.000 0.500 0.000 Co
0.500 0.500 0.500 Cd
```



Record 5
CdCoSbSe2: relaxed, PBE.

Results
- formation energy without anion corrections (eV/atom) = 0.303
- SG = No. 123

Geometry as POSCAR:
```
CdCoSbSe2
1.0
4.665 0.000 0.000
0.000 5.073 0.000
0.000 0.000 4.665
Sb Co Se Cd
1 1 2 1
direct
0.500 0.500 0.500 Sb
0.000 0.000 0.000 Co
0.000 0.000 0.500 Se
0.500 0.000 0.000 Se
0.000 0.500 0.000 Cd
```



Record 6
CdCoSb2Te: relaxed, PBE.

Results
- energy above the lowest structure with this stoichiometry (meV/atom) = 0
- formation energy without anion corrections (eV/atom) = 0.288
- SG = No. 123

Geometry as POSCAR:
```
CdCoSb2Te
1.0
-2.243 -4.245 0.410
2.018 -1.465 -4.123
4.413 -2.053 2.889
Sb Te Co Cd
2 1 1 1
direct
0.000 0.500 0.000 Sb
0.500 0.000 0.000 Sb
0.000 0.000 0.500 Te
0.000 0.000 0.000 Co
0.500 0.500 0.500 Cd
```



Record 7
CdCoSb2Te: relaxed, PBE.

Results
- energy above the lowest structure with this stoichiometry (meV/atom) = 993
- formation energy without anion corrections (eV/atom) = 1.281
- SG = No. 123

Geometry as POSCAR:
```
CdCoSb2Te
1.0
-1.468 -2.096 -4.814
0.598 -5.033 2.009
-5.378 0.013 1.634
Sb Te Co Cd
2 1 1 1
direct
0.000 0.500 0.000 Sb
0.500 0.000 0.000 Sb
0.000 0.000 0.500 Te
0.500 0.500 0.500 Co
0.000 0.000 0.000 Cd
```



Record 8
TlCd2CoSb: relaxed, PBE.

Results
- formation energy without anion corrections (eV/atom) = 0.108
- SG = No. 123

Geometry as POSCAR:
```
TlCd2CoSb
1.0
-2.156 0.643 -4.629
-3.205 -3.914 0.949
-3.121 3.010 1.872
Sb Tl Co Cd
1 1 1 2
direct
0.000 0.000 0.500 Sb
0.500 0.500 0.500 Tl
0.000 0.000 0.000 Co
0.000 0.500 0.000 Cd
0.500 0.000 0.000 Cd
```



Record 9
ScCd2Co: relaxed, PBE.

Results
- SG = No. 160

Geometry as POSCAR:
```
ScCd2Co
1.0
-0.855 -3.201 -8.736
1.328 -5.170 -7.669
-1.699 -5.764 -7.155
Cd Co Sc
2 1 1
direct
0.002 0.002 0.002 Cd
0.238 0.238 0.238 Cd
0.495 0.495 0.495 Co
0.764 0.764 0.764 Sc
```



Record 10
ScCd2Co: relaxed, PBE.

Results
- SG = No. 216

Geometry as POSCAR:
```
ScCd2Co
1.0
-3.895 -2.602 -0.291
2.323 -3.672 1.773
-0.071 4.076 2.326
Cd Co Sc
2 1 1
direct
0.000 0.000 0.000 Cd
0.250 0.750 0.500 Cd
0.500 0.500 0.000 Co
0.750 0.250 0.500 Sc
```



Record 11
Sc7Cd2Co2: relaxed, PBE.

Results
- SG = No. 44

Geometry as POSCAR:
```
Sc7Cd2Co2
1.0
3.269 0.000 0.596
0.911 8.091 4.261
0.016 0.600 9.170
Sc Cd Co
7 2 2
direct
0.818 0.083 0.281 Sc
0.847 0.411 0.896 Sc
0.500 0.033 0.967 Sc
0.642 0.447 0.268 Sc
0.358 0.732 0.553 Sc
0.182 0.719 0.917 Sc
0.153 0.104 0.589 Sc
0.000 0.751 0.249 Cd
0.500 0.370 0.630 Cd
0.739 0.863 0.659 Co
0.261 0.341 0.137 Co
```



Record 12
Sc4Cd5Co2: relaxed, PBE.

Results
- SG = No. 10

Geometry as POSCAR:
```
Sc4Cd5Co2
1.0
-0.146 1.742 -2.807
-7.424 -0.501 0.076
0.286 7.718 4.776
Sc Cd Co
4 5 2
direct
0.500 0.801 0.557 Sc
0.500 0.173 0.832 Sc
0.500 0.199 0.443 Sc
0.500 0.827 0.168 Sc
0.000 0.545 0.337 Cd
0.000 0.172 0.144 Cd
0.000 0.500 0.000 Cd
0.000 0.828 0.856 Cd
0.000 0.455 0.663 Cd
0.000 0.073 0.636 Co
0.000 0.927 0.364 Co
```



Record 13
ScCdCo2: relaxed, PBE.

Results
- SG = No. 216

Geometry as POSCAR:
```
ScCdCo2
1.0
4.466 0.000 0.000
2.233 3.868 0.000
2.233 1.289 3.647
Cd Co Sc
1 2 1
direct
0.500 0.500 0.500 Cd
0.000 0.000 0.000 Co
0.250 0.250 0.250 Co
0.750 0.750 0.750 Sc
```



Record 14
ScCd2Co: relaxed, PBE.

Results
- SG = No. 139

Geometry as POSCAR:
```
ScCd2Co
1.0
5.211 -0.099 -0.257
2.156 4.745 0.257
-3.548 -2.538 2.864
Cd Co Sc
2 1 1
direct
0.000 0.000 0.000 Cd
0.500 0.500 0.000 Cd
0.750 0.250 0.500 Co
0.250 0.750 0.500 Sc
```



Record 15
ScCd2Co: relaxed, PBE.

Results
- SG = No. 44

Geometry as POSCAR:
```
ScCd2Co
1.0
-2.467 2.797 -3.613
-1.855 -0.659 -4.805
-4.572 -0.679 -0.378
Cd Co Sc
2 1 1
direct
0.999 0.999 0.001 Cd
0.769 0.769 0.730 Cd
0.513 0.513 0.487 Co
0.219 0.219 0.281 Sc
```



Record 16
ScCdCo2: relaxed, PBE.

Results
- SG = No. 122

Geometry as POSCAR:
```
ScCdCo2
1.0
4.036 0.000 0.000
0.000 4.036 0.000
2.018 2.018 8.684
Sc Co Cd
2 4 2
direct
0.500 0.500 0.000 Sc
0.250 0.750 0.500 Sc
0.537 0.125 0.250 Co
0.213 0.625 0.250 Co
0.375 0.463 0.750 Co
0.875 0.787 0.750 Co
0.000 0.000 0.000 Cd
0.750 0.250 0.500 Cd
```



Record 17
ScCdCo2: relaxed, PBE.

Results
- SG = No. 99

Geometry as POSCAR:
```
ScCdCo2
1.0
3.021 0.000 0.000
0.000 3.021 0.000
0.000 0.000 7.018
Cd Co Sc
1 2 1
direct
0.500 0.500 0.790 Cd
0.000 0.000 0.050 Co
0.500 0.500 0.207 Co
0.000 0.000 0.453 Sc
```



Record 18
Sc2Cd2Co: relaxed, PBE.

Results
- energy above the lowest structure with this stoichiometry (meV/atom) = 410
- SG = No. 127

Geometry as POSCAR:
```
Sc2Cd2Co
1.0
-4.228 -2.151 5.068
4.004 -5.588 0.969
2.355 2.190 2.895
Sc Co Cd
4 2 4
direct
0.172 0.672 0.500 Sc
0.672 0.828 0.500 Sc
0.828 0.328 0.500 Sc
0.328 0.172 0.500 Sc
0.000 0.000 0.000 Co
0.500 0.500 0.000 Co
0.359 0.859 0.000 Cd
0.859 0.641 0.000 Cd
0.641 0.141 0.000 Cd
0.141 0.359 0.000 Cd
```



Record 19
Sc4CdCo2: relaxed, PBE.

Results
- SG = No. 63

Geometry as POSCAR:
```
Sc4CdCo2
1.0
4.763 -0.002 0.000
-2.382 4.125 0.000
0.000 0.000 13.337
Sc Cd Co
8 2 4
direct
0.167 0.833 0.879 Sc
0.167 0.833 0.621 Sc
0.833 0.167 0.121 Sc
0.833 0.167 0.379 Sc
0.166 0.834 0.250 Sc
0.834 0.166 0.750 Sc
0.500 0.500 0.000 Sc
0.500 0.500 0.500 Sc
0.499 0.501 0.250 Cd
0.501 0.499 0.750 Cd
0.834 0.166 0.559 Co
0.166 0.834 0.059 Co
0.834 0.166 0.941 Co
0.166 0.834 0.441 Co
```



Record 20
Sc11Cd9Co4: relaxed, PBE.

Results
- SG = No. 65

Geometry as POSCAR:
```
Sc11Cd9Co4
1.0
3.345 0.000 0.000
0.000 11.442 -4.793
0.000 0.089 12.405
Sc Cd Co
11 9 4
direct
0.000 0.578 0.906 Sc
0.000 0.422 0.094 Sc
0.000 0.906 0.578 Sc
0.000 0.094 0.422 Sc
0.000 0.634 0.366 Sc
0.000 0.366 0.634 Sc
0.000 0.843 0.157 Sc
0.000 0.157 0.843 Sc
0.000 0.000 0.000 Sc
0.000 0.692 0.692 Sc
0.000 0.308 0.308 Sc
0.500 0.635 0.147 Cd
0.500 0.365 0.853 Cd
0.500 0.147 0.635 Cd
0.500 0.853 0.365 Cd
0.500 0.781 0.926 Cd
0.500 0.219 0.074 Cd
0.500 0.926 0.781 Cd
0.500 0.074 0.219 Cd
0.500 0.500 0.500 Cd
0.500 0.544 0.739 Co
0.500 0.456 0.261 Co
0.500 0.739 0.544 Co
0.500 0.261 0.456 Co
```



Record 21
ScCd2Co2: relaxed, PBE.

Results
- energy above the lowest structure with this stoichiometry (meV/atom) = 0
- SG = No. 127

Geometry as POSCAR:
```
ScCd2Co2
1.0
-0.246 5.766 2.961
-0.241 -2.969 5.762
4.008 0.067 0.202
Sc Co Cd
2 4 4
direct
0.000 0.000 0.000 Sc
0.500 0.500 0.000 Sc
0.375 0.875 0.000 Co
0.875 0.625 0.000 Co
0.625 0.125 0.000 Co
0.125 0.375 0.000 Co
0.170 0.670 0.500 Cd
0.670 0.830 0.500 Cd
0.830 0.330 0.500 Cd
0.330 0.170 0.500 Cd
```



Record 22
ScCdCo2: relaxed, PBE.

Results
- SG = No. 166

Geometry as POSCAR:
```
ScCdCo2
1.0
8.545 0.009 0.005
8.033 2.913 0.005
8.033 1.416 2.546
Cd Co Sc
1 2 1
direct
0.750 0.750 0.750 Cd
0.996 0.996 0.996 Co
0.504 0.504 0.504 Co
0.250 0.250 0.250 Sc
```



Record 23
ScCd2Co: relaxed, PBE.

Results
- SG = No. 166

Geometry as POSCAR:
```
ScCd2Co
1.0
9.615 0.020 0.012
9.119 3.048 0.012
9.119 1.493 2.657
Cd Co Sc
2 1 1
direct
0.991 0.991 0.991 Cd
0.509 0.509 0.509 Cd
0.250 0.250 0.250 Co
0.750 0.750 0.750 Sc
```



Record 24
ScCd3Co: relaxed, PBE.

Results
- energy above the lowest structure with this stoichiometry (meV/atom) = 945
- SG = No. 221

Geometry as POSCAR:
```
ScCd3Co
1.0
-1.836 -5.170 -0.461
4.673 -1.859 2.239
-2.259 0.355 5.008
Sc Co Cd
1 1 3
direct
0.000 0.000 0.000 Sc
0.500 0.500 0.500 Co
0.000 0.500 0.000 Cd
0.000 0.000 0.500 Cd
0.500 0.000 0.000 Cd
```



Record 25
ScCd2Co: relaxed, PBE.

Results
- SG = No. 47

Geometry as POSCAR:
```
ScCd2Co
1.0
4.017 0.000 0.000
0.000 4.031 0.000
0.000 0.000 4.566
Cd Co Sc
2 1 1
direct
0.000 0.000 0.000 Cd
0.500 0.500 0.000 Cd
0.500 0.000 0.500 Co
0.000 0.500 0.500 Sc
```



Record 26
ScCdCo2: relaxed, PBE.

Results
- SG = No. 38

Geometry as POSCAR:
```
ScCdCo2
1.0
3.777 0.000 0.000
0.000 3.757 -0.001
0.000 1.880 4.705
Cd Co Sc
1 2 1
direct
0.500 0.779 0.817 Cd
0.000 0.180 0.014 Co
0.500 0.063 0.249 Co
0.000 0.478 0.419 Sc
```



Number 1: total DFT energy (no corrections) -3.926 eV/atom. Number 2: total DFT energy (no corrections) -4.511 eV/atom. Number 3: total DFT energy (no corrections) -4.498 eV/atom. Number 4: total DFT energy (no corrections) -4.613 eV/atom. Number 5: total DFT energy (no corrections) -3.519 eV/atom. Number 6: total DFT energy (no corrections) -3.594 eV/atom. Number 7: total DFT energy (no corrections) -2.601 eV/atom. Number 8: total DFT energy (no corrections) -2.977 eV/atom. Number 9: total DFT energy (no corrections) -3.745 eV/atom. Number 10: total DFT energy (no corrections) -3.822 eV/atom. Number 11: total DFT energy (no corrections) -5.704 eV/atom. Number 12: total DFT energy (no corrections) -4.298 eV/atom. Number 13: total DFT energy (no corrections) -5.225 eV/atom. Number 14: total DFT energy (no corrections) -3.854 eV/atom. Number 15: total DFT energy (no corrections) -3.812 eV/atom. Number 16: total DFT energy (no corrections) -4.900 eV/atom. Number 17: total DFT energy (no corrections) -5.391 eV/atom. Number 18: total DFT energy (no corrections) -4.202 eV/atom. Number 19: total DFT energy (no corrections) -5.976 eV/atom. Number 20: total DFT energy (no corrections) -4.735 eV/atom. Number 21: total DFT energy (no corrections) -4.394 eV/atom. Number 22: total DFT energy (no corrections) -5.118 eV/atom. Number 23: total DFT energy (no corrections) -3.580 eV/atom. Number 24: total DFT energy (no corrections) -1.935 eV/atom. Number 25: total DFT energy (no corrections) -3.800 eV/atom. Number 26: total DFT energy (no corrections) -5.355 eV/atom.